# S, optimized geometry, DFT PBE
# **Raw formation energy**: 0.027 eV per atom
# **Relative energy among the computed polymorphs**: 0.027 eV per atom
# **V**: 35.23 Å³/atom
data_S
_chemical_formula_sum 'S16'
_symmetry_space_group_name_H-M 'P 1'
_symmetry_Int_Tables_number 1
_symmetry_space_group_name_Hall 'P 1'
_cell_length_a 7.578
_cell_length_b 7.765
_cell_length_c 9.579
_cell_angle_alpha 90.00
_cell_angle_beta 90.00
_cell_angle_gamma 90.00
loop_
_atom_site_label
_atom_site_type_symbol
_atom_site_fract_x
_atom_site_fract_y
_atom_site_fract_z
S1 S 0.038 0.154 0.095
S2 S 0.193 0.618 0.295
S3 S 0.204 0.759 0.114
S4 S 0.246 0.014 0.174
S5 S 0.254 0.986 0.674
S6 S 0.296 0.241 0.614
S7 S 0.307 0.382 0.795
S8 S 0.462 0.846 0.595
S9 S 0.538 0.346 0.905
S10 S 0.693 0.882 0.705
S11 S 0.704 0.741 0.886
S12 S 0.746 0.486 0.826
S13 S 0.754 0.514 0.326
S14 S 0.796 0.259 0.386
S15 S 0.807 0.118 0.205
S16 S 0.962 0.654 0.405


# S, optimized geometry, DFT PBE
# **Raw formation energy**: 0.038 eV per atom
# **Relative energy among the computed polymorphs**: 0.038 eV per atom
# **V**: 32.93 Å³/atom
data_S
_chemical_formula_sum 'S72'
_symmetry_space_group_name_H-M 'P 1'
_symmetry_Int_Tables_number 1
_symmetry_space_group_name_Hall 'P 1'
_cell_length_a 8.500
_cell_length_b 15.017
_cell_length_c 19.006
_cell_angle_alpha 90.00
_cell_angle_beta 102.22
_cell_angle_gamma 90.00
loop_
_atom_site_label
_atom_site_type_symbol
_atom_site_fract_x
_atom_site_fract_y
_atom_site_fract_z
S1 S 0.005 0.022 0.127
S2 S 0.005 0.478 0.627
S3 S 0.010 0.711 0.097
S4 S 0.010 0.789 0.597
S5 S 0.051 0.672 0.544
S6 S 0.051 0.828 0.044
S7 S 0.139 0.238 0.334
S8 S 0.139 0.262 0.834
S9 S 0.140 0.010 0.803
S10 S 0.140 0.490 0.303
S11 S 0.161 0.583 0.621
S12 S 0.161 0.917 0.121
S13 S 0.220 0.181 0.640
S14 S 0.220 0.319 0.140
S15 S 0.234 0.750 0.352
S16 S 0.234 0.750 0.852
S17 S 0.244 0.525 0.873
S18 S 0.244 0.975 0.373
S19 S 0.261 0.088 0.565
S20 S 0.261 0.412 0.065
S21 S 0.294 0.647 0.923
S22 S 0.294 0.853 0.423
S23 S 0.361 0.525 0.121
S24 S 0.361 0.975 0.621
S25 S 0.374 0.212 0.141
S26 S 0.374 0.288 0.641
S27 S 0.376 0.023 0.863
S28 S 0.376 0.247 0.888
S29 S 0.376 0.253 0.388
S30 S 0.376 0.477 0.363
S31 S 0.383 0.123 0.936
S32 S 0.383 0.377 0.436
S33 S 0.409 0.738 0.290
S34 S 0.409 0.762 0.790
S35 S 0.422 0.508 0.814
S36 S 0.422 0.992 0.314
S37 S 0.578 0.008 0.686
S38 S 0.578 0.492 0.186
S39 S 0.591 0.238 0.210
S40 S 0.591 0.262 0.710
S41 S 0.617 0.623 0.564
S42 S 0.617 0.877 0.064
S43 S 0.624 0.523 0.637
S44 S 0.624 0.747 0.612
S45 S 0.624 0.753 0.112
S46 S 0.624 0.977 0.137
S47 S 0.626 0.712 0.359
S48 S 0.626 0.788 0.859
S49 S 0.639 0.025 0.379
S50 S 0.639 0.475 0.879
S51 S 0.706 0.147 0.577
S52 S 0.706 0.353 0.077
S53 S 0.739 0.588 0.935
S54 S 0.739 0.912 0.435
S55 S 0.756 0.025 0.627
S56 S 0.756 0.475 0.127
S57 S 0.766 0.250 0.148
S58 S 0.766 0.250 0.648
S59 S 0.780 0.681 0.860
S60 S 0.780 0.819 0.360
S61 S 0.839 0.083 0.879
S62 S 0.839 0.417 0.379
S63 S 0.860 0.510 0.697
S64 S 0.860 0.990 0.197
S65 S 0.861 0.738 0.166
S66 S 0.861 0.762 0.666
S67 S 0.949 0.172 0.956
S68 S 0.949 0.328 0.456
S69 S 0.990 0.211 0.403
S70 S 0.990 0.289 0.903
S71 S 0.995 0.522 0.373
S72 S 0.995 0.978 0.873


# S, optimized geometry, DFT PBE
# **Raw formation energy**: 0.044 eV per atom
# **Relative energy among the computed polymorphs**: 0.044 eV per atom
# **V**: 32.14 Å³/atom
data_S
_chemical_formula_sum 'S32'
_symmetry_space_group_name_H-M 'P 1'
_symmetry_Int_Tables_number 1
_symmetry_space_group_name_Hall 'P 1'
_cell_length_a 11.904
_cell_length_b 11.904
_cell_length_c 9.598
_cell_angle_alpha 100.40
_cell_angle_beta 100.40
_cell_angle_gamma 50.50
loop_
_atom_site_label
_atom_site_type_symbol
_atom_site_fract_x
_atom_site_fract_y
_atom_site_fract_z
S1 S 0.004 0.419 0.807
S2 S 0.007 0.083 0.309
S3 S 0.037 0.381 0.141
S4 S 0.083 0.007 0.809
S5 S 0.138 0.758 0.543
S6 S 0.159 0.294 0.967
S7 S 0.191 0.564 0.582
S8 S 0.242 0.862 0.957
S9 S 0.294 0.159 0.467
S10 S 0.338 0.472 0.757
S11 S 0.367 0.543 0.189
S12 S 0.381 0.037 0.641
S13 S 0.419 0.004 0.307
S14 S 0.436 0.809 0.918
S15 S 0.457 0.633 0.311
S16 S 0.472 0.338 0.257
S17 S 0.528 0.662 0.743
S18 S 0.543 0.367 0.689
S19 S 0.564 0.191 0.082
S20 S 0.581 0.996 0.693
S21 S 0.619 0.963 0.359
S22 S 0.633 0.457 0.811
S23 S 0.662 0.528 0.243
S24 S 0.706 0.841 0.533
S25 S 0.758 0.138 0.043
S26 S 0.809 0.436 0.418
S27 S 0.841 0.706 0.033
S28 S 0.862 0.242 0.457
S29 S 0.917 0.993 0.191
S30 S 0.963 0.619 0.859
S31 S 0.993 0.917 0.691
S32 S 0.996 0.581 0.193